This record from Alexandria describes Cr3Cu at its PBEsol-relaxed geometry. The functional is meta-GGA SCAN.

The value obtained for the calculated total energy is -16.075 eV/atom. The total magnetization comes out at 13.830 μB/f.u. The density of states at the Fermi level comes out at 1.2813 states/eV per atom.

The structure in CIF format:
```
data_Cr3Cu
_chemical_formula_sum 'Cr3 Cu1'
_cell_length_a 4.6955
_cell_length_b 4.6955
_cell_length_c 4.6955
_cell_angle_alpha 90.00
_cell_angle_beta 90.00
_cell_angle_gamma 90.00
_space_group_name_H-M_alt 'P m -3 m'
_space_group_IT_number 221
_space_group_name_Hall '-P 4 2 3'
loop_
_atom_site_label
_atom_site_type_symbol
_atom_site_fract_x
_atom_site_fract_y
_atom_site_fract_z
_atom_site_occupancy
Cr1 Cr 0.0000 0.0000 0.5000 1
Cu1 Cu 0.0000 0.0000 0.0000 1
```